# CrInIrO6 | the Alexandria database | PBE+U | relaxed
# Space-group type: P-31c, No. 163
# M_tot in μB per formula unit: 0.8
# Energy in eV per cell: -117.44
# DOS at the Fermi energy in states/eV per cell: 10.51
data_CrInIrO6
_chemical_formula_sum 'Cr2 In2 Ir2 O12'
_symmetry_space_group_name_H-M 'P 1'
_symmetry_Int_Tables_number 1
_symmetry_space_group_name_Hall 'P 1'
_cell_length_a 5.257
_cell_length_b 5.257
_cell_length_c 8.559
_cell_angle_alpha 90.00
_cell_angle_beta 90.00
_cell_angle_gamma 120.00
loop_
_atom_site_label
_atom_site_fract_x
_atom_site_fract_y
_atom_site_fract_z
Cr1 0.000 0.000 0.000
Cr2 0.000 0.000 0.500
In1 0.333 0.667 0.250
In2 0.667 0.333 0.750
Ir1 0.333 0.667 0.750
Ir2 0.667 0.333 0.250
O1 0.030 0.349 0.622
O2 0.030 0.681 0.878
O3 0.319 0.349 0.878
O4 0.319 0.970 0.622
O5 0.349 0.030 0.122
O6 0.349 0.319 0.378
O7 0.651 0.681 0.622
O8 0.651 0.970 0.878
O9 0.681 0.030 0.378
O10 0.681 0.651 0.122
O11 0.970 0.319 0.122
O12 0.970 0.651 0.378